The following is a DFT calculation (PBE-GGA) of a relaxed Na3H3O2 crystal.

Computed properties:
DFT total energy (eV per atom): -3.79
Symmetry: Cmcm

a = 4.772 Å, b = 4.772 Å, c = 13.001 Å
α = 90.00°, β = 90.00°, γ = 149.17°
Positions (direct):
Na 0.128 0.872 0.750
Na 0.367 0.633 0.599
Na 0.367 0.633 0.901
Na 0.633 0.367 0.099
Na 0.633 0.367 0.401
Na 0.872 0.128 0.250
H 0.121 0.879 0.578
H 0.121 0.879 0.922
H 0.127 0.873 0.250
H 0.873 0.127 0.750
H 0.879 0.121 0.078
H 0.879 0.121 0.422
O 0.371 0.629 0.088
O 0.371 0.629 0.412
O 0.629 0.371 0.588
O 0.629 0.371 0.912



The following is a DFT calculation (PBE-GGA) of a relaxed CaSc2Br crystal.

Computed properties:
ΔE_f (raw) (kJ per mole of atoms): -41
Symmetry: Cmm2

a = 4.632 Å, b = 5.083 Å, c = 9.131 Å
α = 90.00°, β = 90.00°, γ = 90.00°
Positions (direct):
Ca 0.000 0.000 0.000
Ca 0.500 0.500 0.000
Sc 0.000 0.000 0.518
Sc 0.000 0.500 0.291
Sc 0.500 0.000 0.291
Sc 0.500 0.500 0.518
Br 0.000 0.500 0.754
Br 0.500 0.000 0.754



The following is a DFT calculation (PBE-GGA) of a relaxed PuHPt3 crystal.

Computed properties:
DFT total energy (eV per atom): -7.59
Symmetry: Pm-3m

a = 4.221 Å, b = 4.221 Å, c = 4.221 Å
α = 90.00°, β = 90.00°, γ = 90.00°
Positions (direct):
Pu 0.000 0.000 0.000
H 0.500 0.500 0.500
Pt 0.000 0.500 0.500
Pt 0.500 0.000 0.500
Pt 0.500 0.500 0.000



The following is a DFT calculation (PBE-GGA) of a relaxed MgMnMo2 crystal.

Computed properties:
Energy of formation from the pure elements (eV per atom): 0.31
Symmetry: C2/m

a = 5.315 Å, b = 8.985 Å, c = 2.668 Å
α = 90.00°, β = 105.15°, γ = 90.00°
Positions (direct):
Mg 0.000 0.000 0.000
Mg 0.500 0.500 0.000
Mn 0.000 0.500 0.000
Mn 0.500 0.000 0.000
Mo 0.250 0.250 0.500
Mo 0.250 0.750 0.500
Mo 0.750 0.250 0.500
Mo 0.750 0.750 0.500



The following is a DFT calculation (PBE-GGA) of a relaxed Mn2PtN crystal.

Computed properties:
ΔE_f (raw) (kJ per mole of atoms): -25
Symmetry: R3m

a = 2.850 Å, b = 2.850 Å, c = 19.633 Å
α = 90.00°, β = 90.00°, γ = 120.00°
Positions (direct):
Mn 0.000 0.000 0.000
Mn 0.000 0.000 0.220
Mn 0.333 0.667 0.667
Mn 0.333 0.667 0.887
Mn 0.667 0.333 0.333
Mn 0.667 0.333 0.553
Pt 0.000 0.000 0.442
Pt 0.333 0.667 0.108
Pt 0.667 0.333 0.775
N 0.000 0.000 0.609
N 0.333 0.667 0.275
N 0.667 0.333 0.942



The following is a DFT calculation (PBE-GGA) of a relaxed CsRbV2H crystal.

Computed properties:
DFT total energy (eV per atom): -2.50
Symmetry: P4/mmm

a = 5.697 Å, b = 5.697 Å, c = 9.186 Å
α = 90.00°, β = 90.00°, γ = 90.00°
Positions (direct):
Cs 0.000 0.000 0.000
Rb 0.000 0.000 0.500
V 0.000 0.500 0.000
V 0.500 0.000 0.000
H 0.500 0.500 0.500



The following is a DFT calculation (PBE-GGA) of a relaxed Dy2TmAl crystal.

Computed properties:
Energy of formation from the pure elements (eV per atom): -0.18
Symmetry: P4/mmm

a = 3.488 Å, b = 3.488 Å, c = 9.018 Å
α = 90.00°, β = 90.00°, γ = 90.00°
Positions (direct):
Dy 0.000 0.000 0.216
Dy 0.000 0.000 0.784
Tm 0.500 0.500 0.500
Al 0.500 0.500 0.000



The following is a DFT calculation (PBE-GGA) of a relaxed KRe3I crystal.

Computed properties:
ΔE_f (raw) (kJ per mole of atoms): 267
Symmetry: Pm-3m

a = 4.960 Å, b = 4.960 Å, c = 4.960 Å
α = 90.00°, β = 90.00°, γ = 90.00°
Positions (direct):
K 0.000 0.000 0.000
Re 0.000 0.500 0.500
Re 0.500 0.000 0.500
Re 0.500 0.500 0.000
I 0.500 0.500 0.500



no.,D(E_F) (states/eV/f.u.)
1,0.0
2,4.8
3,17.1
4,4.0
5,3.4
6,10.7
7,4.4
8,4.6